Entry 1:
## Al2OsBr (PBE-GGA)

Data for a geometry-optimized Al2OsBr structure.

Computed properties:
Mass density   8013 kg/m3
Crystal system   cubic
E_form (uncorrected)   0.713 eV per atom
Calculated volume   16.8 A^3/atom
Symmetry   Fm-3m (225)
Electronic total energy   -17.53 eV/f.u.
Energy relative to the lowest polymorph listed for this composition   0.983 eV per atom
M_tot   0.74 μB/cell

Cell: 4.5627 4.5627 4.5627 Å, 60.00 60.00 60.00°
Positions (direct):
Al 0.2500 0.2500 0.2500
Al 0.7500 0.7500 0.7500
Os 0.0000 0.0000 0.0000
Br 0.5000 0.5000 0.5000



Entry 2:
## Al2OsBr (PBE-GGA)

Data for a geometry-optimized Al2OsBr structure.

Computed properties:
Mass density   8101 kg/m3
Crystal system   tetragonal
E_form (uncorrected)   0.679 eV per atom
Calculated volume   16.6 A^3/atom
Symmetry   I-4m2 (119)
Electronic total energy   -17.67 eV/f.u.
Energy relative to the lowest polymorph listed for this composition   0.949 eV per atom
M_tot   0.00 μB/cell

Cell: 4.6229 4.6229 4.6229 Å, 122.98 122.98 84.92°
Positions (direct):
Al 0.0000 0.0000 0.0000
Al 0.7500 0.2500 0.5000
Os 0.5000 0.5000 0.0000
Br 0.2500 0.7500 0.5000



Entry 3:
## Al2OsBr (PBE-GGA)

Data for a geometry-optimized Al2OsBr structure.

Computed properties:
Mass density   7318 kg/m3
Crystal system   tetragonal
E_form (uncorrected)   0.409 eV per atom
Calculated volume   18.4 A^3/atom
Symmetry   P4mm (99)
Electronic total energy   -18.75 eV/f.u.
Energy relative to the lowest polymorph listed for this composition   0.678 eV per atom
M_tot   0.00 μB/cell

Cell: 3.0950 3.0950 7.6777 Å, 90.00 90.00 90.00°
Positions (direct):
Al 0.0000 0.0000 0.0000
Al 0.5000 0.5000 0.2212
Os 0.5000 0.5000 0.8318
Br 0.0000 0.0000 0.5798



Entry 4:
## Al2OsBr (PBE-GGA)

Data for a geometry-optimized Al2OsBr structure.

Computed properties:
Mass density   7291 kg/m3
Crystal system   orthorhombic
E_form (uncorrected)   0.471 eV per atom
Calculated volume   18.5 A^3/atom
Symmetry   Cmm2 (35)
Electronic total energy   -18.50 eV/f.u.
Energy relative to the lowest polymorph listed for this composition   0.741 eV per atom
M_tot   0.00 μB/cell

Cell: 3.0145 3.0145 9.0638 Å, 90.00 90.00 116.35°
Positions (direct):
Al 0.0000 0.0000 0.0000
Al 0.5000 0.5000 0.2452
Os 0.5000 0.5000 0.8010
Br 0.0000 0.0000 0.4599



Entry 5:
## AlOsBr2 (PBE-GGA)

Data for a geometry-optimized AlOsBr2 structure.

Computed properties:
Mass density   5750 kg/m3
Crystal system   monoclinic
E_form (uncorrected)   0.152 eV per atom
Calculated volume   27.2 A^3/atom
Symmetry   Cm (8)
Electronic total energy   -17.71 eV/f.u.
Energy relative to the lowest polymorph listed for this composition   0.115 eV per atom
M_tot   0.00 μB/cell

Cell: 4.6894 4.6894 7.4159 Å, 108.44 108.44 45.29°
Positions (direct):
Al 0.0000 0.0000 0.0000
Os 0.2881 0.2881 0.9998
Br 0.6982 0.6982 0.7361
Br 0.8527 0.8527 0.2636



Entry 6:
## Al2OsBr (PBE-GGA)

Data for a geometry-optimized Al2OsBr structure.

Computed properties:
Mass density   5904 kg/m3
Crystal system   orthorhombic
E_form (uncorrected)   0.160 eV per atom
Calculated volume   22.8 A^3/atom
Symmetry   Pmm2 (25)
Electronic total energy   -19.75 eV/f.u.
Energy relative to the lowest polymorph listed for this composition   0.429 eV per atom
M_tot   0.00 μB/cell

Cell: 3.2808 3.6905 7.5291 Å, 90.00 90.00 90.00°
Positions (direct):
Al 0.0000 0.0000 0.0000
Al 0.5000 0.5000 0.3001
Os 0.5000 0.5000 0.9914
Br 0.0000 0.0000 0.4756



Entry 7:
## Al2OsBr (PBE-GGA)

Data for a geometry-optimized Al2OsBr structure.

Computed properties:
Mass density   7474 kg/m3
Crystal system   orthorhombic
E_form (uncorrected)   -0.269 eV per atom
Calculated volume   18.0 A^3/atom
Symmetry   Pmmm (47)
Electronic total energy   -21.47 eV/f.u.
Energy relative to the lowest polymorph listed for this composition   0.000 eV per atom
M_tot   0.00 μB/cell

Cell: 3.0874 3.1445 7.4171 Å, 90.00 90.00 90.00°
Positions (direct):
Al 0.0000 0.0000 0.1868
Al 0.0000 0.0000 0.8132
Os 0.5000 0.5000 0.0000
Br 0.5000 0.0000 0.5000



Entry 8:
## Al2OsBr (PBE-GGA)

Data for a geometry-optimized Al2OsBr structure.

Computed properties:
Mass density   6116 kg/m3
Crystal system   orthorhombic
E_form (uncorrected)   -0.003 eV per atom
Calculated volume   22.0 A^3/atom
Symmetry   Imm2 (44)
Electronic total energy   -20.40 eV/f.u.
Energy relative to the lowest polymorph listed for this composition   0.266 eV per atom
M_tot   0.00 μB/cell

Cell: 8.5547 8.5547 8.5547 Å, 158.78 157.13 31.40°
Positions (direct):
Al 0.0000 0.0000 0.0000
Al 0.6721 0.1721 0.5000
Os 0.5553 0.5553 0.0000
Br 0.2735 0.7735 0.5000